No. 1
Below is a geometry-optimized BaMgPb2Br8 structure, with properties calculated at the PBE-GGA level.

a b c (Å): 7.111 6.814 9.160
angles (deg): 90.00 90.00 88.83
Positions (direct):
Pb 0.500 0.500 0.769
Br 0.850 0.229 0.211
Br 0.150 0.771 0.211
Pb 0.500 0.500 0.231
Mg 0.000 0.000 0.000
Ba 0.000 0.000 0.500
Br 0.150 0.771 0.789
Br 0.850 0.229 0.789
Br 0.636 0.729 0.500
Br 0.364 0.271 0.500
Br 0.678 0.760 0.000
Br 0.322 0.240 0.000

Calculated values
uncorrected formation energy	-1.328	eV per atom
DOS at the Fermi energy	0.0000	states/eV/atom
SG	P2/m, No. 10

No. 2
Below is a geometry-optimized La2Pm3HoTm6 structure, with properties calculated at the PBE-GGA level.

a b c (Å): 6.206 6.206 11.740
angles (deg): 95.04 95.04 119.98
Positions (direct):
Tm 0.584 0.916 0.749
Tm 0.416 0.084 0.251
Tm 0.916 0.584 0.749
Pm 0.167 0.833 0.500
Ho 0.000 0.000 0.000
Tm 0.084 0.416 0.251
Pm 0.500 0.500 0.500
Pm 0.833 0.167 0.500
La 0.666 0.334 0.000
La 0.334 0.666 0.000
Tm 0.248 0.248 0.748
Tm 0.752 0.752 0.252

Calculated values
DOS at the Fermi energy	1.1156	states/eV/atom
SG	C2/m, No. 12
energy of formation	19.1	meV per atom

No. 3
Below is a geometry-optimized TcAsW2 structure, with properties calculated at the PBE-GGA level.

a b c (Å): 5.134 5.134 5.134
angles (deg): 137.22 137.22 62.11
Positions (direct):
As 0.250 0.750 0.500
Tc 0.750 0.250 0.500
W 0.000 0.000 0.000
W 0.500 0.500 0.000

Calculated values
DOS at the Fermi energy	0.6907	states/eV/atom
SG	I4/mmm, No. 139
energy of formation	329.9	meV per atom

No. 4
Below is a geometry-optimized LaRu2 structure, with properties calculated at the PBE-GGA level.

a b c (Å): 7.131 7.131 3.589
angles (deg): 90.00 90.00 138.76
Last column: magnetic moment on the atom in μB.
Positions (direct):
Ru 0.712 0.288 0.750  0.03
La 0.883 0.117 0.250  0.00
Ru 0.563 0.437 0.250  0.14
Ru 0.437 0.563 0.750  0.14
La 0.117 0.883 0.750  0.00
Ru 0.288 0.712 0.250  0.03

Calculated values
DOS at the Fermi energy	1.2577	states/eV/atom
SG	Cmcm, No. 63
energy of formation	297.9	meV per atom

No. 5
Below is a geometry-optimized K3Zr2O4F3 structure, with properties calculated at the PBE-GGA level.

a b c (Å): 4.088 4.315 11.887
angles (deg): 100.46 99.90 90.00
Positions (direct):
F 0.095 0.592 0.184
Zr 0.899 0.897 0.794
F 0.910 0.408 0.816
F 0.002 0.000 0.000
Zr 0.106 0.103 0.206
O 0.189 0.186 0.373
O 0.592 0.089 0.179
O 0.413 0.911 0.821
K 0.699 0.697 0.394
K 0.502 0.500 0.000
O 0.816 0.814 0.627
K 0.305 0.303 0.606

Calculated values
uncorrected formation energy	-2.886	eV per atom
DOS at the Fermi energy	0.0000	states/eV/atom
SG	Immm, No. 71

No. 6
Below is a geometry-optimized CdTcF2 structure, with properties calculated at the PBE-GGA level.

a b c (Å): 6.130 6.130 7.269
angles (deg): 65.06 65.06 90.00
Last column: magnetic moment on the atom in μB.
Positions (direct):
Cd 0.750 0.250 0.500  0.01
Tc 0.250 0.750 0.500  4.11
Cd 0.000 0.000 0.000  0.01
F 0.293 0.625 0.250  0.15
F 0.375 0.543 0.750  0.14
F 0.875 0.707 0.750  0.15
Tc 0.500 0.500 0.000  4.11
F 0.457 0.125 0.250  0.15

Calculated values
uncorrected formation energy	-0.540	eV per atom
DOS at the Fermi energy	0.0000	states/eV/atom
SG	I-42d, No. 122
energy relative to the lowest polymorph listed for this composition	0.527	eV per atom

No. 7
Below is a geometry-optimized MgRh4 structure, with properties calculated at the PBE-GGA level.

a b c (Å): 4.436 4.436 4.436
angles (deg): 90.00 90.00 90.00
Last column: magnetic moment on the atom in μB.
Positions (direct):
Rh 0.500 0.000 0.500  0.86
Rh 0.000 0.000 0.000  1.26
Rh 0.500 0.500 0.000  0.86
Mg 0.500 0.500 0.500  -0.02
Rh 0.000 0.500 0.500  0.86

Calculated values
DOS at the Fermi energy	1.4585	states/eV/atom
SG	Pm-3m, No. 221
energy of formation	1284.5	meV per atom
energy relative to the lowest polymorph listed for this composition	1.463	eV per atom

No. 8
Below is a geometry-optimized ZrTaRe2 structure, with properties calculated at the PBE-GGA level.

a b c (Å): 4.573 4.573 4.573
angles (deg): 60.00 60.00 60.00
Positions (direct):
Ta 0.500 0.500 0.500
Re 0.250 0.250 0.250
Re 0.000 0.000 0.000
Zr 0.750 0.750 0.750

Calculated values
DOS at the Fermi energy	0.3808	states/eV/atom
SG	F-43m, No. 216
energy of formation	-131.9	meV per atom

No. 9
Below is a geometry-optimized Pm4TlIn3 structure, with properties calculated at the PBE-GGA level.

a b c (Å): 3.854 3.854 15.471
angles (deg): 90.00 90.00 90.00
Positions (direct):
Pm 0.000 0.000 0.127
In 0.500 0.500 0.500
Pm 0.000 0.000 0.873
Pm 0.000 0.000 0.376
Pm 0.000 0.000 0.624
In 0.500 0.500 0.748
In 0.500 0.500 0.252
Tl 0.500 0.500 0.000

Calculated values
DOS at the Fermi energy	0.6878	states/eV/atom
SG	P4/mmm, No. 123
energy of formation	-471.2	meV per atom
energy relative to the lowest polymorph listed for this composition	0.000	eV per atom

No. 10
Below is a geometry-optimized Er7Tm3Sc structure, with properties calculated at the PBE-GGA level.

a b c (Å): 5.368 10.326 8.577
angles (deg): 108.82 128.75 89.97
Positions (direct):
Tm 0.289 0.021 0.789
Er 0.867 0.827 0.867
Sc 0.500 0.500 0.500
Tm 0.711 0.979 0.211
Er 0.688 0.375 0.188
Er 0.121 0.285 0.621
Er 0.879 0.715 0.379
Er 0.500 0.000 0.500
Tm 0.000 0.500 0.000
Er 0.133 0.173 0.133
Er 0.312 0.625 0.812

Calculated values
DOS at the Fermi energy	1.5422	states/eV/atom
SG	P2/m, No. 10
energy of formation	161.7	meV per atom
energy relative to the lowest polymorph listed for this composition	0.000	eV per atom

No. 11
Below is a geometry-optimized LaNb2Cu2 structure, with properties calculated at the PBE-GGA level.

a b c (Å): 8.042 8.042 2.834
angles (deg): 90.00 90.00 90.00
Positions (direct):
La 0.000 0.000 0.000
Nb 0.330 0.170 0.500
Nb 0.170 0.670 0.500
Cu 0.118 0.382 0.000
Cu 0.882 0.618 0.000
Cu 0.382 0.882 0.000
Nb 0.670 0.830 0.500
Cu 0.618 0.118 0.000
La 0.500 0.500 0.000
Nb 0.830 0.330 0.500

Calculated values
DOS at the Fermi energy	0.8422	states/eV/atom
SG	P4/mbm, No. 127
energy of formation	305.1	meV per atom
energy relative to the lowest polymorph listed for this composition	0.168	eV per atom

No. 12
Below is a geometry-optimized HfTaSeBr2 structure, with properties calculated at the PBE-GGA level.

a b c (Å): 5.092 5.092 5.064
angles (deg): 90.00 90.00 90.00
Last column: magnetic moment on the atom in μB.
Positions (direct):
Se 0.000 0.000 0.500  -0.02
Br 0.500 0.000 0.000  0.02
Hf 0.500 0.500 0.500  1.03
Ta 0.000 0.000 0.000  0.30
Br 0.000 0.500 0.000  0.02

Calculated values
uncorrected formation energy	0.561	eV per atom
DOS at the Fermi energy	1.2049	states/eV/atom
SG	P4/mmm, No. 123
energy relative to the lowest polymorph listed for this composition	0.033	eV per atom

Copy entry 6 word for word.
Below is a geometry-optimized CdTcF2 structure, with properties calculated at the PBE-GGA level.

a b c (Å): 6.130 6.130 7.269
angles (deg): 65.06 65.06 90.00
Last column: magnetic moment on the atom in μB.
Positions (direct):
Cd 0.750 0.250 0.500  0.01
Tc 0.250 0.750 0.500  4.11
Cd 0.000 0.000 0.000  0.01
F 0.293 0.625 0.250  0.15
F 0.375 0.543 0.750  0.14
F 0.875 0.707 0.750  0.15
Tc 0.500 0.500 0.000  4.11
F 0.457 0.125 0.250  0.15

Calculated values
uncorrected formation energy	-0.540	eV per atom
DOS at the Fermi energy	0.0000	states/eV/atom
SG	I-42d, No. 122
energy relative to the lowest polymorph listed for this composition	0.527	eV per atom